SrSc2Ag at its PBEsol-relaxed geometry, computed with meta-GGA SCAN.

```
SrSc2Ag
1.0
-2.186 2.186 5.356
2.186 -2.186 5.356
2.186 2.186 -5.356
Sr Sc Ag
1 2 1
direct
0.000 0.000 0.000
0.250 0.750 0.500
0.750 0.250 0.500
0.500 0.500 0.000
```

Output
For the volume, the calculation gives 25.602 A^3/atom. The value obtained for the density of states at the Fermi level is 1.038 states/eV/atom. The calculation puts the energy relative to the lowest polymorph listed for this composition at 0.230 eV/atom. The formation energy is 0.247 eV/atom. As for the space group: No. 139.


LaFe2Hg at its PBEsol-relaxed geometry, computed with meta-GGA SCAN.

```
LaFe2Hg
1.0
0.000 3.396 3.396
3.396 0.000 3.396
3.396 3.396 0.000
La Fe Hg
1 2 1
direct
0.000 0.000 0.000
0.250 0.250 0.250
0.500 0.500 0.500
0.750 0.750 0.750
```

Output
For the volume, the calculation gives 19.578 A^3/atom. The value obtained for the density of states at the Fermi level is 0.746 states/eV/atom. The formation energy is 0.313 eV/atom. As for the space group: No. 216.


Q: Look up the formation energy of the second one.
A: 0.313 eV/atom


Q: Number 2 is which compound?
A: LaFe2Hg